# 1
Computed, not measured: Ba3Cu at its PBEsol-relaxed geometry at the SCAN level of DFT.

Computed properties:
The space group is P4/mmm, No. 123. The calculation puts the energy relative to the elements at 24 kJ/mol of formula units. The value obtained for the uncorrected energy is -133.60 eV/cell. For the total magnetization, the calculation gives 0.0 μB/f.u.

Geometry as extended XYZ:
```
4
Lattice="3.9955 0.0000 0.0000 0.0000 3.9955 0.0000 0.0000 0.0000 10.6140" Properties=species:S:1:pos:R:3 pbc="T T T"
Ba 0.0000 0.0000 0.0000
Ba 1.9977 1.9977 3.4843
Ba 1.9977 1.9977 7.1297
Cu 0.0000 0.0000 5.3070
```



# 2
Computed, not measured: Mo3Pt2N at its PBEsol-relaxed geometry at the SCAN level of DFT.

Computed properties:
The space group is P4_132, No. 213. The value obtained for the uncorrected energy is -1028.24 eV/cell. For the total magnetization, the calculation gives 0.0 μB/f.u. The value obtained for the uncorrected formation energy is -454.4 meV/atom.

Geometry as extended XYZ:
```
24
Lattice="6.8108 0.0000 0.0000 0.0000 6.8108 0.0000 0.0000 0.0000 6.8108" Properties=species:S:1:pos:R:3 pbc="T T T"
Mo 0.3356 0.8514 5.4437
Mo 0.8514 5.4437 0.3356
Mo 1.3671 3.7410 2.5541
Mo 2.0383 3.0698 5.9595
Mo 2.5541 1.3671 3.7410
Mo 3.0698 5.9595 2.0383
Mo 3.7410 2.5541 1.3671
Mo 4.2568 4.7725 6.4752
Mo 4.7725 6.4752 4.2568
Mo 5.4437 0.3356 0.8514
Mo 5.9595 2.0383 3.0698
Mo 6.4752 4.2568 4.7725
Pt 0.3886 6.4222 3.0168
Pt 1.3141 1.3141 1.3141
Pt 2.0913 5.4967 4.7195
Pt 3.0168 0.3886 6.4222
Pt 3.7940 3.7940 3.7940
Pt 4.7195 2.0913 5.4967
Pt 5.4967 4.7195 2.0913
Pt 6.4222 3.0168 0.3886
N 0.8514 2.5541 4.2568
N 2.5541 4.2568 0.8514
N 4.2568 0.8514 2.5541
N 5.9595 5.9595 5.9595
```



# 3
Computed, not measured: CdGaC2 at its PBEsol-relaxed geometry at the SCAN level of DFT.

Computed properties:
The space group is Fm-3m, No. 225. The calculation puts the energy relative to the elements at 843 kJ/mol of formula units. The value obtained for the uncorrected energy is -58.22 eV/cell. For the total magnetization, the calculation gives 0.0 μB/f.u.

Geometry as extended XYZ:
```
4
Lattice="0.0000 2.8955 2.8955 2.8955 0.0000 2.8955 2.8955 2.8955 0.0000" Properties=species:S:1:pos:R:3 pbc="T T T"
Cd 0.0000 0.0000 0.0000
Ga 2.8955 2.8955 2.8955
C 1.4478 1.4478 1.4478
C 4.3433 4.3433 4.3433
```



# 4
Computed, not measured: RbGd3F10 at its PBEsol-relaxed geometry at the SCAN level of DFT.

Computed properties:
The space group is Fm-3m, No. 225. The value obtained for the uncorrected energy is -581.74 eV/cell. For the total magnetization, the calculation gives 21.0 μB/f.u. The value obtained for the uncorrected formation energy is -4162.9 meV/atom.

Geometry as extended XYZ:
```
28
Lattice="0.0000 5.8663 5.8663 5.8663 0.0000 5.8663 5.8663 5.8663 0.0000" Properties=species:S:1:pos:R:3 pbc="T T T"
Rb 2.9331 2.9331 2.9331
Rb 8.7994 8.7994 8.7994
Gd 5.8663 5.8663 2.8119
Gd 5.8663 2.8119 5.8663
Gd 8.9207 5.8663 5.8663
Gd 2.8119 5.8663 5.8663
Gd 5.8663 8.9207 5.8663
Gd 5.8663 5.8663 8.9207
F 1.3045 1.3045 1.3045
F 4.5618 4.5618 1.3045
F 4.5618 1.3045 4.5618
F 5.8663 3.9216 3.9216
F 7.8110 5.8663 3.9216
F 7.8110 3.9216 5.8663
F 10.4281 7.1708 7.1708
F 3.9216 5.8663 3.9216
F 5.8663 7.8110 3.9216
F 3.9216 3.9216 5.8663
F 7.8110 7.8110 5.8663
F 5.8663 3.9216 7.8110
F 7.8110 5.8663 7.8110
F 1.3045 4.5618 4.5618
F 3.9216 7.8110 5.8663
F 3.9216 5.8663 7.8110
F 5.8663 7.8110 7.8110
F 7.1708 10.4281 7.1708
F 7.1708 7.1708 10.4281
F 10.4281 10.4281 10.4281
```